Compound: Sr2MgOsS6
Source: OQMD via LeMat-Bulk
Functional: PBE
Structure: relaxed

Results
Crystal system: cubic
E_tot, eV/atom: -4.970
Total magnetization, μB/cell: 0.653
Excess energy over the best structure of this formula in the dataset, meV/atom: 87

Structure (CIF):
```
data_Sr2MgOsS6
_cell_length_a 6.7704
_cell_length_b 6.7704
_cell_length_c 6.7704
_cell_angle_alpha 60.00
_cell_angle_beta 60.00
_cell_angle_gamma 60.00
_space_group_name_H-M_alt 'P 1'
_space_group_IT_number 1
_space_group_name_Hall 'P 1'
loop_
_atom_site_label
_atom_site_fract_x
_atom_site_fract_y
_atom_site_fract_z
S1 0.7445 0.2555 0.2555
S2 0.2555 0.7445 0.2555
S3 0.2555 0.7445 0.7445
Sr1 0.7500 0.7500 0.7500
Mg1 0.0000 0.0000 0.0000
Sr2 0.2500 0.2500 0.2500
S4 0.2555 0.2555 0.7445
Os1 0.5000 0.5000 0.5000
S5 0.7445 0.7445 0.2555
S6 0.7445 0.2555 0.7445
```